Entry 1:
First-principles (GGA-PBE) data for a relaxed structure of AlTcSe2, as listed in the Alexandria database.

Computed properties:
Total moment = 0.00 μB per atom
Symmetry = Cmmm
Crystal system = orthorhombic

```
AlTcSe2
1.0
1.533 -2.528 0.000
1.533 2.528 0.000
0.000 0.000 9.475
Al Tc Se
1 1 2
Direct
0.000 0.000 0.000 Al
0.000 0.000 0.500 Tc
0.500 0.500 0.284 Se
0.500 0.500 0.716 Se
```

Entry 2:
First-principles (GGA-PBE) data for a relaxed structure of Al2TcSe, as listed in the Alexandria database.

Computed properties:
Total moment = 0.00 μB per atom
Symmetry = P2/m
Crystal system = monoclinic

```
Al2TcSe
1.0
4.369 0.000 0.000
0.000 3.232 0.000
-1.708 0.000 4.551
Al Tc Se
2 1 1
Direct
0.000 0.000 0.000 Al
0.000 0.500 0.500 Al
0.500 0.000 0.500 Tc
0.500 0.500 0.000 Se
```

Entry 3:
First-principles (GGA-PBE) data for a relaxed structure of Al2TcSe, as listed in the Alexandria database.

Computed properties:
Total moment = 0.00 μB per atom
Symmetry = Amm2
Crystal system = orthorhombic

```
Al2TcSe
1.0
4.183 0.000 0.000
0.000 1.649 4.734
0.000 -1.649 4.734
Al Tc Se
2 1 1
Direct
0.000 0.000 0.000 Al
0.500 0.311 0.311 Al
0.000 0.726 0.726 Tc
0.500 0.577 0.577 Se
```

Number 1: total DFT energy (no corrections) -4.9328 eV/atom. Number 2: total DFT energy (no corrections) -5.3370 eV/atom. Number 3: total DFT energy (no corrections) -5.5174 eV/atom.